1.
This record from Alexandria describes a relaxed structure of NdGdGa2. The functional is PBE.

Computed properties:
- Density: 6782 kg/m³
- Energy above the most stable polymorph in this dataset: 195.7 meV per atom

abc: 3.755 3.755 9.102
angles: 78.09 78.09 60.00
Site moments in Bohr magnetons follow the coordinates.
Positions (direct):
Gd: 0.000 0.000 0.000  -7.05
Nd: 0.500 0.500 0.500  0.03
Ga: 0.748 0.748 0.755  0.02
Ga: 0.252 0.252 0.245  0.02

2.
This record from Alexandria describes a relaxed structure of NdGdGaPd. The functional is PBE.

Computed properties:
- Density: 8264 kg/m³
- Uncorrected energy: -7.402 eV per atom

abc: 5.139 5.139 5.139
angles: 60.00 60.00 60.00
Site moments in Bohr magnetons follow the coordinates.
Positions (direct):
Gd: 0.000 0.000 0.000  7.00
Nd: 0.500 0.500 0.500  0.01
Ga: 0.750 0.750 0.750  0.01
Pd: 0.250 0.250 0.250  0.02

3.
This record from Alexandria describes a relaxed structure of NdGdGaRh. The functional is PBE.

Computed properties:
- Density: 8527 kg/m³
- Uncorrected energy: -7.888 eV per atom

abc: 5.073 5.073 5.073
angles: 60.00 60.00 60.00
Site moments in Bohr magnetons follow the coordinates.
Positions (direct):
Rh: 0.250 0.250 0.250  -0.03
Gd: 0.000 0.000 0.000  7.00
Nd: 0.500 0.500 0.500  0.00
Ga: 0.750 0.750 0.750  0.00

4.
This record from Alexandria describes a relaxed structure of NdGdGaRu. The functional is PBE.

Computed properties:
- Density: 8639 kg/m³
- Uncorrected energy: -8.138 eV per atom

abc: 5.045 5.045 5.045
angles: 60.00 60.00 60.00
Site moments in Bohr magnetons follow the coordinates.
Positions (direct):
Ru: 0.750 0.750 0.750  -0.11
Gd: 0.500 0.500 0.500  7.01
Nd: 0.000 0.000 0.000  0.00
Ga: 0.250 0.250 0.250  0.00

5.
This record from Alexandria describes a relaxed structure of NdSmGdGa. The functional is PBE.

Computed properties:
- Density: 7700 kg/m³
- Uncorrected energy: -6.765 eV per atom

abc: 5.418 5.418 5.418
angles: 60.00 60.00 60.00
Site moments in Bohr magnetons follow the coordinates.
Positions (direct):
Gd: 0.750 0.750 0.750  7.40
Nd: 0.000 0.000 0.000  0.17
Ga: 0.250 0.250 0.250  -0.04
Sm: 0.500 0.500 0.500  0.18

6.
This record from Alexandria describes a relaxed structure of NdGdGaSn. The functional is PBE.

Computed properties:
- Density: 7630 kg/m³
- Uncorrected energy: -7.038 eV per atom

abc: 5.323 5.323 5.323
angles: 60.00 60.00 60.00
Site moments in Bohr magnetons follow the coordinates.
Positions (direct):
Gd: 0.000 0.000 0.000  -7.05
Nd: 0.500 0.500 0.500  -0.03
Sn: 0.250 0.250 0.250  0.03
Ga: 0.750 0.750 0.750  0.02

7.
This record from Alexandria describes a relaxed structure of TbNdGdGa. The functional is PBE.

Computed properties:
- Density: 7901 kg/m³
- Uncorrected energy: -6.727 eV per atom

abc: 5.401 5.401 5.401
angles: 60.00 60.00 60.00
Site moments in Bohr magnetons follow the coordinates.
Positions (direct):
Nd: 0.500 0.500 0.500  0.17
Gd: 0.000 0.000 0.000  7.29
Tb: 0.750 0.750 0.750  0.36
Ga: 0.250 0.250 0.250  -0.01

8.
This record from Alexandria describes a relaxed structure of NdGdTmGa. The functional is PBE.

Computed properties:
- Density: 8182 kg/m³
- Uncorrected energy: -6.708 eV per atom

abc: 5.372 5.372 5.372
angles: 60.00 60.00 60.00
Site moments in Bohr magnetons follow the coordinates.
Positions (direct):
Gd: 0.000 0.000 0.000  7.26
Tm: 0.750 0.750 0.750  0.30
Nd: 0.500 0.500 0.500  0.14
Ga: 0.250 0.250 0.250  -0.01

9.
This record from Alexandria describes a relaxed structure of NdGdZnGa. The functional is PBE.

Computed properties:
- Density: 7405 kg/m³
- Uncorrected energy: -6.247 eV per atom

abc: 5.173 5.173 5.173
angles: 60.00 60.00 60.00
Site moments in Bohr magnetons follow the coordinates.
Positions (direct):
Zn: 0.750 0.750 0.750  0.03
Gd: 0.000 0.000 0.000  7.18
Nd: 0.500 0.500 0.500  0.14
Ga: 0.250 0.250 0.250  -0.02

10.
This record from Alexandria describes a relaxed structure of GdGaNi. The functional is PBE.

Computed properties:
- Density: 8642 kg/m³
- Uncorrected energy: -8.024 eV per atom

abc: 3.233 3.233 5.726
angles: 106.40 106.40 90.00
Site moments in Bohr magnetons follow the coordinates.
Positions (direct):
Ni: 0.254 0.254 0.508  0.01
Gd: 0.944 0.944 0.888  7.20
Ga: 0.652 0.652 0.304  0.00

11.
This record from Alexandria describes a relaxed structure of GdGa2Ni. The functional is PBE.

Computed properties:
- Density: 7887 kg/m³
- Uncorrected energy: -7.046 eV per atom

abc: 4.100 4.100 5.659
angles: 68.76 68.76 60.00
Site moments in Bohr magnetons follow the coordinates.
Positions (direct):
Ni: 0.500 0.500 0.500  -0.02
Gd: 0.000 0.000 0.000  7.00
Ga: 0.788 0.788 0.635  -0.01
Ga: 0.212 0.212 0.365  -0.01

12.
This record from Alexandria describes a relaxed structure of GdGaNi. The functional is PBE.

Computed properties:
- Density: 7694 kg/m³
- Uncorrected energy: -8.039 eV per atom

abc: 4.434 4.434 4.434
angles: 60.00 60.00 60.00
Site moments in Bohr magnetons follow the coordinates.
Positions (direct):
Ni: 0.250 0.250 0.250  0.15
Gd: 0.000 0.000 0.000  7.11
Ga: 0.500 0.500 0.500  0.07

13.
This record from Alexandria describes a relaxed structure of Gd2GaNi. The functional is PBE.

Computed properties:
- Density: 6428 kg/m³
- Uncorrected energy: -9.218 eV per atom

abc: 3.751 3.751 9.635
angles: 78.77 78.77 60.00
Site moments in Bohr magnetons follow the coordinates.
Positions (direct):
Ni: 0.500 0.500 0.500  -0.04
Gd: 0.109 0.109 0.673  7.16
Gd: 0.891 0.891 0.327  7.16
Ga: 0.000 0.000 0.000  0.02

14.
This record from Alexandria describes a relaxed structure of GdGaNi4. The functional is PBE.

Computed properties:
- Density: 9113 kg/m³
- Uncorrected energy: -7.105 eV per atom

abc: 4.918 4.918 4.918
angles: 60.00 60.00 60.00
Site moments in Bohr magnetons follow the coordinates.
Positions (direct):
Ni: 0.624 0.624 0.129  -0.01
Ni: 0.624 0.129 0.624  -0.01
Ni: 0.624 0.624 0.624  -0.01
Ni: 0.129 0.624 0.624  -0.01
Gd: 0.000 0.000 0.000  6.96
Ga: 0.250 0.250 0.250  -0.01

15.
This record from Alexandria describes a relaxed structure of Gd2GaNi. The functional is PBE.

Computed properties:
- Density: 8453 kg/m³
- Uncorrected energy: -9.699 eV per atom

abc: 3.467 3.467 7.237
angles: 90.00 90.00 90.00
Site moments in Bohr magnetons follow the coordinates.
Positions (direct):
Ni: 0.500 0.500 0.500  -0.06
Gd: 0.000 0.000 0.731  7.03
Gd: 0.000 0.000 0.269  7.03
Ga: 0.500 0.500 0.000  -0.02